SrWAu2 | GGA-PBE | relaxed

Properties
V, Å³/cell: 82
Symmetry: R-3m, No. 166

Unit cell a=9.9385 b=9.9385 c=9.9385 alpha=18.07 beta=18.07 gamma=18.07
With the nearest neighbours (Å) after each atom.
Sites, in units of the cell vectors:
Au: 0.4913 0.4913 0.4913  3 W 2.84, 6 Au 3.12
Au: 0.0087 0.0087 0.0087  3 W 2.84, 6 Au 3.12
Sr: 0.2500 0.2500 0.2500  6 Sr 3.12, 6 Au 3.24
W: 0.7500 0.7500 0.7500  6 Au 2.84, 6 W 3.12

SrWAu2 | GGA-PBE | relaxed

Properties
V, Å³/cell: 83
Symmetry: P4mm, No. 99

Unit cell a=3.0317 b=3.0317 c=8.9881 alpha=90.00 beta=90.00 gamma=90.00
With the nearest neighbours (Å) after each atom.
Sites, in units of the cell vectors:
Sr: 0.0000 0.0000 0.4983  4 Sr 3.03, 4 Au 3.27, 4 W 3.36
Au: 0.0000 0.0000 0.9914  4 W 2.83, 8 Au 2.99-3.03
Au: 0.5000 0.5000 0.2237  8 Au 2.99-3.03, 4 Sr 3.27
W: 0.5000 0.5000 0.7866  4 Au 2.83, 4 W 3.03

| no. | E_form (eV/atom) |
| --- | --- |
| 1 | 0.5850 |
| 2 | 0.4255 |